{"formula": "FeSn", "functional": "PBE", "state": "relaxed", "lattice": [[5.370, 0.000, 0.000], [0.000, 5.370, 0.000], [0.000, 0.000, 5.370]], "species": ["Fe", "Fe", "Fe", "Fe", "Sn", "Sn", "Sn", "Sn"], "fractional_positions": [[0.000, 0.000, 0.000], [0.000, 0.500, 0.500], [0.500, 0.000, 0.500], [0.500, 0.500, 0.000], [0.000, 0.000, 0.500], [0.000, 0.500, 0.000], [0.500, 0.000, 0.000], [0.500, 0.500, 0.500]], "magnetic_moment_mub_per_cell": 9.62, "energy_ev_per_atom": -5.625}